This record from Alexandria describes an optimized crystal structure of Pm3B2C4. The functional is PBE-GGA.

Computed properties:
Magnetic moment ... 0.00 μB/cell
E_tot ... -7.319 eV per atom
V ... 15.217 A^3/atom
SG ... Immm, No. 71

Cell lengths 3.7834, 6.8139, 6.8139 Å; angles 55.18, 73.88, 73.88 degrees
Sites, in units of the cell vectors:
B  0.0000  0.7955  0.2045
C  0.1226  0.1366  0.6182
Pm  0.6975  0.8025  0.8025
Pm  0.5000  0.5000  0.5000
C  0.1226  0.6182  0.1366
C  0.8774  0.8634  0.3818
Pm  0.3025  0.1975  0.1975
B  0.0000  0.2045  0.7955
C  0.8774  0.3818  0.8634